The following is a DFT calculation (GGA-PBEsol) of a relaxed Ti3CrP6O24 crystal.

Structure (CIF):
```
data_Ti3CrP6O24
_space_group_name_H-M_alt 'R 3'
_space_group_IT_number 146
_space_group_name_Hall 'R 3'
_cell_length_a 8.4712
_cell_length_b 8.4712
_cell_length_c 21.6302
_cell_angle_alpha 90.00
_cell_angle_beta 90.00
_cell_angle_gamma 120.00
loop_
_atom_site_label
_atom_site_type_symbol
_atom_site_fract_x
_atom_site_fract_y
_atom_site_fract_z
_atom_site_occupancy
Ti1 Ti 0.0000 0.0000 0.0000 1
Ti2 Ti 0.0000 0.0000 0.2230 1
Ti3 Ti 0.0000 0.0000 0.7199 1
Cr1 Cr 0.0000 0.0000 0.5009 1
P1 P 0.0023 0.2804 0.6105 1
P2 P 0.0095 0.7244 0.1105 1
O1 O 0.0043 0.1901 0.2700 1
O2 O 0.0138 0.1837 0.5506 1
O3 O 0.0378 0.8307 0.7680 1
O4 O 0.0602 0.8493 0.0545 1
O5 O 0.1500 0.6708 0.8363 1
O6 O 0.1693 0.6821 0.1199 1
O7 O 0.1778 0.4665 0.3329 1
O8 O 0.1876 0.4549 0.6178 1
```

Crystal system   trigonal

The following is a DFT calculation (GGA-PBEsol) of a relaxed TiCr3P6O24 crystal.

Structure (CIF):
```
data_TiCr3P6O24
_space_group_name_H-M_alt 'R 3'
_space_group_IT_number 146
_space_group_name_Hall 'R 3'
_cell_length_a 8.2968
_cell_length_b 8.2968
_cell_length_c 21.4885
_cell_angle_alpha 90.00
_cell_angle_beta 90.00
_cell_angle_gamma 120.00
loop_
_atom_site_label
_atom_site_type_symbol
_atom_site_fract_x
_atom_site_fract_y
_atom_site_fract_z
_atom_site_occupancy
Ti1 Ti 0.0000 0.0000 0.0000 1
Cr1 Cr 0.0000 0.0000 0.2842 1
Cr2 Cr 0.0000 0.0000 0.5011 1
Cr3 Cr 0.0000 0.0000 0.7814 1
P1 P 0.0095 0.7276 0.3908 1
P2 P 0.0508 0.3828 0.5577 1
O1 O 0.0026 0.8199 0.4517 1
O2 O 0.0140 0.1921 0.8306 1
O3 O 0.0677 0.8472 0.0474 1
O4 O 0.0717 0.8642 0.3358 1
O5 O 0.1580 0.4816 0.2165 1
O6 O 0.1576 0.6692 0.3976 1
O7 O 0.1854 0.4550 0.6124 1
O8 O 0.1899 0.4577 0.9021 1
```

D(E_F)   39.84 states/eV per cell
Crystal system   trigonal

The following is a DFT calculation (GGA-PBEsol) of a relaxed Ti2CrP3O12 crystal.

Structure (CIF):
```
data_Ti2CrP3O12
_space_group_name_H-M_alt 'R -3 c'
_space_group_IT_number 167
_space_group_name_Hall '-R 3 2"c'
_cell_length_a 8.5826
_cell_length_b 8.5826
_cell_length_c 20.8354
_cell_angle_alpha 90.00
_cell_angle_beta 90.00
_cell_angle_gamma 120.00
loop_
_atom_site_label
_atom_site_type_symbol
_atom_site_fract_x
_atom_site_fract_y
_atom_site_fract_z
_atom_site_occupancy
Ti1 Ti 0.0000 0.0000 0.1434 1
Cr1 Cr 0.0000 0.0000 0.0000 1
P1 P 0.0000 0.2935 0.2500 1
O1 O 0.0046 0.1943 0.3104 1
O2 O 0.0189 0.1835 0.9230 1
```

D(E_F)   60.12 states/eV per cell
Crystal system   trigonal

The following is a DFT calculation (GGA-PBEsol) of a relaxed Ti3V2CrP6O24 crystal.

Structure (CIF):
```
data_Ti3V2CrP6O24
_space_group_name_H-M_alt 'R 3'
_space_group_IT_number 146
_space_group_name_Hall 'R 3'
_cell_length_a 8.5786
_cell_length_b 8.5786
_cell_length_c 20.2471
_cell_angle_alpha 90.00
_cell_angle_beta 90.00
_cell_angle_gamma 120.00
loop_
_atom_site_label
_atom_site_type_symbol
_atom_site_fract_x
_atom_site_fract_y
_atom_site_fract_z
_atom_site_occupancy
Ti1 Ti 0.0000 0.0000 0.0000 1
Ti2 Ti 0.0000 0.0000 0.2188 1
Ti3 Ti 0.0000 0.0000 0.7194 1
V1 V 0.0000 0.0000 0.3564 1
V2 V 0.0000 0.0000 0.8597 1
Cr1 Cr 0.0000 0.0000 0.4987 1
P1 P 0.0017 0.2895 0.6080 1
P2 P 0.0039 0.7080 0.1094 1
O1 O 0.0121 0.1962 0.6709 1
O2 O 0.0140 0.8151 0.1710 1
O3 O 0.0167 0.8320 0.7859 1
O4 O 0.0209 0.1875 0.2845 1
O5 O 0.1438 0.4726 0.2126 1
O6 O 0.1448 0.6755 0.7141 1
O7 O 0.1668 0.4832 0.6003 1
O8 O 0.1700 0.6841 0.0989 1
```

D(E_F)   28.13 states/eV per cell
Crystal system   trigonal

The following is a DFT calculation (GGA-PBEsol) of a relaxed TiV3Cr2P6O24 crystal.

Structure (CIF):
```
data_TiV3Cr2P6O24
_space_group_name_H-M_alt 'R 3'
_space_group_IT_number 146
_space_group_name_Hall 'R 3'
_cell_length_a 8.5165
_cell_length_b 8.5165
_cell_length_c 20.4872
_cell_angle_alpha 90.00
_cell_angle_beta 90.00
_cell_angle_gamma 120.00
loop_
_atom_site_label
_atom_site_type_symbol
_atom_site_fract_x
_atom_site_fract_y
_atom_site_fract_z
_atom_site_occupancy
Ti1 Ti 0.0000 0.0000 0.0000 1
V1 V 0.0000 0.0000 0.2138 1
V2 V 0.0000 0.0000 0.4973 1
V3 V 0.0000 0.0000 0.7135 1
Cr1 Cr 0.0000 0.0000 0.3552 1
Cr2 Cr 0.0000 0.0000 0.8566 1
P1 P 0.9996 0.2952 0.1067 1
P2 P 0.0416 0.6676 0.2721 1
O1 O 0.0049 0.1980 0.1679 1
O2 O 0.0064 0.8103 0.6670 1
O3 O 0.0113 0.1774 0.7807 1
O4 O 0.0173 0.8367 0.2805 1
O5 O 0.1416 0.6706 0.2103 1
O6 O 0.1476 0.4700 0.7120 1
O7 O 0.1675 0.6806 0.5981 1
O8 O 0.1708 0.4849 0.0963 1
```

D(E_F)   60.99 states/eV per cell
Crystal system   trigonal

The following is a DFT calculation (GGA-PBEsol) of a relaxed TiZnCrP3O12 crystal.

Structure (CIF):
```
data_TiZnCrP3O12
_space_group_name_H-M_alt 'R 3 c'
_space_group_IT_number 161
_space_group_name_Hall 'R 3 -2"c'
_cell_length_a 8.5102
_cell_length_b 8.5102
_cell_length_c 20.4936
_cell_angle_alpha 90.00
_cell_angle_beta 90.00
_cell_angle_gamma 120.00
loop_
_atom_site_label
_atom_site_type_symbol
_atom_site_fract_x
_atom_site_fract_y
_atom_site_fract_z
_atom_site_occupancy
Ti1 Ti 0.0000 0.0000 0.0000 1
Zn1 Zn 0.0000 0.0000 0.3554 1
Cr1 Cr 0.0000 0.0000 0.2158 1
P1 P 0.0413 0.3734 0.2745 1
O1 O 0.0052 0.1960 0.6688 1
O2 O 0.0163 0.1808 0.2806 1
O3 O 0.1480 0.4741 0.2125 1
O4 O 0.1704 0.4828 0.5986 1
```

Crystal system   trigonal

The following is a DFT calculation (GGA-PBEsol) of a relaxed VCr3P6O24 crystal.

Structure (CIF):
```
data_VCr3P6O24
_space_group_name_H-M_alt 'R 3'
_space_group_IT_number 146
_space_group_name_Hall 'R 3'
_cell_length_a 8.2715
_cell_length_b 8.2715
_cell_length_c 21.3935
_cell_angle_alpha 90.00
_cell_angle_beta 90.00
_cell_angle_gamma 120.00
loop_
_atom_site_label
_atom_site_type_symbol
_atom_site_fract_x
_atom_site_fract_y
_atom_site_fract_z
_atom_site_occupancy
V1 V 0.0000 0.0000 0.0000 1
Cr1 Cr 0.0000 0.0000 0.2170 1
Cr2 Cr 0.0000 0.0000 0.5045 1
Cr3 Cr 0.0000 0.0000 0.7210 1
P1 P 0.0003 0.7206 0.6102 1
P2 P 0.0524 0.3828 0.7784 1
O1 O 0.0026 0.8208 0.9509 1
O2 O 0.0079 0.1872 0.0511 1
O3 O 0.0664 0.8582 0.5552 1
O4 O 0.0688 0.8563 0.2662 1
O5 O 0.1536 0.6753 0.3379 1
O6 O 0.1567 0.4860 0.4387 1
O7 O 0.1886 0.4556 0.1219 1
O8 O 0.1901 0.4586 0.8333 1
```

D(E_F)   36.24 states/eV per cell
Crystal system   trigonal

The following is a DFT calculation (GGA-PBEsol) of a relaxed VCrP4O14 crystal.

Structure (CIF):
```
data_VCrP4O14
_space_group_name_H-M_alt 'P 1'
_space_group_IT_number 1
_space_group_name_Hall 'P 1'
_cell_length_a 4.788
_cell_length_b 6.916
_cell_length_c 7.880
_cell_angle_alpha 89.52
_cell_angle_beta 89.61
_cell_angle_gamma 74.72
loop_
_atom_site_label
_atom_site_type_symbol
_atom_site_fract_x
_atom_site_fract_y
_atom_site_fract_z
_atom_site_occupancy
V1 V 0.000 0.000 0.000 1
Cr1 Cr 0.567 0.462 0.500 1
P1 P 0.026 0.617 0.264 1
P2 P 0.173 0.230 0.681 1
P3 P 0.398 0.233 0.189 1
P4 P 0.545 0.841 0.759 1
O1 O 0.066 0.204 0.864 1
O2 O 0.205 0.089 0.175 1
O3 O 0.212 0.452 0.134 1
O4 O 0.212 0.638 0.415 1
O5 O 0.344 0.829 0.911 1
O6 O 0.363 0.373 0.684 1
O7 O 0.365 0.009 0.633 1
O8 O 0.496 0.244 0.370 1
O9 O 0.645 0.653 0.657 1
O10 O 0.649 0.179 0.063 1
O11 O 0.752 0.559 0.310 1
O12 O 0.805 0.909 0.823 1
O13 O 0.926 0.276 0.557 1
O14 O 0.951 0.805 0.150 1
```

D(E_F)   5.69 states/eV per cell
Crystal system   triclinic

Number 1: raw formation energy -2.343 eV/atom, calculated density 2.8 g/cm³. Number 2: raw formation energy -2.099 eV/atom, calculated density 3.0 g/cm³. Number 3: raw formation energy -2.380 eV/atom, calculated density 3.2 g/cm³. Number 4: raw formation energy -2.368 eV/atom, calculated density 3.3 g/cm³. Number 5: raw formation energy -2.216 eV/atom, calculated density 3.4 g/cm³. Number 6: raw formation energy -2.255 eV/atom, calculated density 3.5 g/cm³. Number 7: raw formation energy -2.050 eV/atom, calculated density 3.1 g/cm³. Number 8: raw formation energy -2.155 eV/atom, calculated density 3.0 g/cm³.